# Zr6Sn2B, relaxed, DFT PBE
data_Zr6Sn2B
_chemical_formula_sum 'Zr12 Sn4 B2'
_cell_length_a 6.0452
_cell_length_b 6.0452
_cell_length_c 12.6928
_cell_angle_alpha 90.00
_cell_angle_beta 90.00
_cell_angle_gamma 90.00
_space_group_name_H-M_alt 'P 1'
_space_group_IT_number 1
_space_group_name_Hall 'P 1'
loop_
_atom_site_label
_atom_site_type_symbol
_atom_site_fract_x
_atom_site_fract_y
_atom_site_fract_z
Zr1 Zr 0.2806 0.2806 0.0000
Zr2 Zr 0.6860 0.6860 0.6282
Zr3 Zr 0.7806 0.2194 0.5000
Zr4 Zr 0.2194 0.7806 0.5000
Zr5 Zr 0.7194 0.7194 0.0000
Zr6 Zr 0.1860 0.8140 0.8718
Zr7 Zr 0.6860 0.6860 0.3718
Zr8 Zr 0.8140 0.1860 0.8718
Zr9 Zr 0.1860 0.8140 0.1282
Zr10 Zr 0.3140 0.3140 0.3718
Zr11 Zr 0.8140 0.1860 0.1282
Zr12 Zr 0.3140 0.3140 0.6282
Sn1 Sn 0.5000 0.5000 0.1809
Sn2 Sn 0.5000 0.5000 0.8191
Sn3 Sn 0.0000 0.0000 0.3191
Sn4 Sn 0.0000 0.0000 0.6809
B1 B 0.5000 0.5000 0.5000
B2 B 0.0000 0.0000 0.0000
# formation energy from the elements = 9.3 kJ per mole of atoms
# VASP energy = -0.532 Ry/atom
# DOS at the Fermi energy = 15.73 states/eV/cell
# total moment = 0.000 μB/atom